VASP calculation (GGA-PBEsol) on a relaxed NaGe2WO crystal.

The total magnetic moment comes out at 1.95 μB per cell. For the formation energy (no corrections), the calculation gives 238 kJ per mole of atoms. The value obtained for the uncorrected energy is -18.00 eV per formula unit.

Unit cell a=4.6897 b=4.6897 c=4.8708 alpha=90.00 beta=90.00 gamma=90.00
Space group P4/mmm (No. 123)
Asymmetric unit:
Na  0.0000  0.0000  0.0000 x1
Ge  0.0000  0.5000  0.0000 x2
W  0.0000  0.0000  0.5000 x1
O  0.5000  0.5000  0.5000 x1